VASP calculation (PBE+U) on MnBP2O after structural relaxation.

Values from the calculation:
V = 15.5 Å³ per atom
Energy above the lowest structure with this stoichiometry = 0.993 eV/atom

Cell: 4.684 4.684 3.526 Å, 90.00 90.00 90.00°
Space group P4/mmm (No. 123)
Inequivalent atoms, fractional coordinates:
Mn  0.000  0.000  0.000
B  0.500  0.500  0.500
P  0.000  0.500  0.000
O  0.000  0.000  0.500